No. 1
5
Lattice="5.222 0.000 0.000 0.000 5.222 0.000 0.000 0.000 5.107" Properties=species:S:1:pos:R:3 comment="PBE-GGA RbMg2SnRh, optimized geometry" polymorph_energy_ev_per_fu=0.00 formation_enthalpy_0k_ev_per_atom=-0.236 space_group="P4/mmm (123)" dft_energy_ev_per_atom=-3.34 pbc="T T T"
Mg 2.611 0.000 0.000
Mg 0.000 2.611 0.000
Sn 0.000 0.000 2.554
Rb 2.611 2.611 2.554
Rh 0.000 0.000 0.000


No. 2
5
Lattice="5.609 0.000 0.000 0.000 5.859 0.000 0.000 0.000 5.609" Properties=species:S:1:pos:R:3 comment="PBE-GGA RbMg2SnRh, optimized geometry" polymorph_energy_ev_per_fu=10.36 formation_enthalpy_0k_ev_per_atom=1.836 space_group="P4/mmm (123)" dft_energy_ev_per_atom=-1.27 pbc="T T T"
Mg 0.000 0.000 2.805
Mg 2.805 0.000 0.000
Rh 2.805 2.930 2.805
Rb 0.000 0.000 0.000
Sn 0.000 2.930 0.000


No. 3
5
Lattice="5.924 0.000 0.000 0.000 5.924 0.000 0.000 0.000 5.470" Properties=species:S:1:pos:R:3 comment="PBE-GGA RbSr2MgRh, optimized geometry" formation_enthalpy_0k_ev_per_atom=-0.066 space_group="P4/mmm (123)" dft_energy_ev_per_atom=-2.72 pbc="T T T"
Sr 2.962 0.000 0.000
Sr 0.000 2.962 0.000
Rb 2.962 2.962 2.735
Rh 0.000 0.000 0.000
Mg 0.000 0.000 2.735


No. 4
5
Lattice="5.179 0.000 0.000 0.000 5.179 0.000 0.000 0.000 5.345" Properties=species:S:1:pos:R:3 comment="PBE-GGA RbMg2TlRh, optimized geometry" formation_enthalpy_0k_ev_per_atom=-0.144 space_group="P4/mmm (123)" dft_energy_ev_per_atom=-2.92 pbc="T T T"
Rb 2.590 2.590 2.673
Mg 0.000 2.590 0.000
Mg 2.590 0.000 0.000
Rh 0.000 0.000 0.000
Tl 0.000 0.000 2.673


No. 5
5
Lattice="-2.752 1.239 3.994 -4.061 0.349 -2.906 -1.005 -4.872 0.819" Properties=species:S:1:pos:R:3 comment="PBE-GGA RbMgZn2Rh, optimized geometry" formation_enthalpy_0k_ev_per_atom=-0.110 space_group="P4/mmm (123)" dft_energy_ev_per_atom=-2.60 pbc="T T T"
Zn -1.376 0.619 1.997
Zn -2.031 0.175 -1.453
Mg -0.502 -2.436 0.409
Rh 0.000 0.000 0.000
Rb -3.909 -1.642 0.953


No. 6
8
Lattice="-0.455 -1.908 4.248 -3.001 -3.144 -1.733 5.662 -8.530 -0.647" Properties=species:S:1:pos:R:3 comment="PBE-GGA RbMgRu2, optimized geometry" formation_enthalpy_0k_ev_per_atom=1.109 space_group="I-42d (122)" dft_energy_ev_per_atom=-4.17 pbc="T T T"
Mg -1.728 -2.526 1.258
Mg 0.467 -7.100 -0.561
Ru -0.607 -4.715 0.130
Ru 1.819 -10.193 2.060
Ru 2.355 -8.916 0.114
Ru 0.846 -3.339 1.433
Rb 1.740 -6.482 2.430
Rb 0.000 0.000 0.000


No. 7
5
Lattice="5.487 0.000 0.000 0.000 5.487 0.000 0.000 0.000 5.487" Properties=species:S:1:pos:R:3 comment="PBE-GGA RbMg3Ru, optimized geometry" polymorph_energy_ev_per_fu=9.62 formation_enthalpy_0k_ev_per_atom=2.146 space_group="Pm-3m (221)" dft_energy_ev_per_atom=-0.86 pbc="T T T"
Rb 0.000 0.000 0.000
Mg 0.000 0.000 2.743
Mg 0.000 2.743 0.000
Mg 2.743 0.000 0.000
Ru 2.743 2.743 2.743


No. 8
8
Lattice="12.644 0.000 0.000 0.000 12.644 0.000 6.322 6.322 2.549" Properties=species:S:1:pos:R:3 comment="PBE-GGA Rb2MgRu, optimized geometry" formation_enthalpy_0k_ev_per_atom=0.899 space_group="I-42d (122)" dft_energy_ev_per_atom=-2.30 pbc="T T T"
Rb 15.805 5.498 1.912
Rb 13.468 9.483 0.637
Rb 9.483 7.146 1.912
Rb 11.820 3.161 0.637
Mg 6.322 6.322 0.000
Mg 6.322 12.644 1.275
Ru 12.644 6.322 1.275
Ru 0.000 0.000 0.000